No. 1
## SrTcS2Cl (PBE)

Data for SrTcS2Cl after structural relaxation. Values from VASP.

E_form (uncorrected) = -0.87 eV per atom
relative energy among the computed polymorphs = 0 meV per atom
final energy = -0.19485 Ha/atom
space-group type = P4/mmm (123)
theoretical density = 4.285 Mg/m³

Geometry as Quantum ESPRESSO input:
```
&SYSTEM
  ibrav = 0, nat = 5, ntyp = 4
/
ATOMIC_SPECIES
Sr 87.62 Sr.upf
Tc 98.00 Tc.upf
S 32.06 S.upf
Cl 35.45 Cl.upf
CELL_PARAMETERS angstrom
4.698 0.000 0.000
0.000 4.698 0.000
0.000 0.000 5.007
ATOMIC_POSITIONS crystal
Sr 0.000 0.000 0.000
Tc 0.500 0.500 0.500
S 0.000 0.500 0.500
S 0.500 0.000 0.500
Cl 0.500 0.500 0.000
```

***

No. 2
## SrTeS2Cl (PBE)

Data for SrTeS2Cl after structural relaxation. Values from VASP.

E_form (uncorrected) = -0.03 eV per atom
relative energy among the computed polymorphs = 686 meV per atom
final energy = -0.11093 Ha/atom
space-group type = P4/mmm (123)
theoretical density = 3.010 Mg/m³

Geometry as Quantum ESPRESSO input:
```
&SYSTEM
  ibrav = 0, nat = 5, ntyp = 4
/
ATOMIC_SPECIES
Sr 87.62 Sr.upf
Te 127.60 Te.upf
S 32.06 S.upf
Cl 35.45 Cl.upf
CELL_PARAMETERS angstrom
5.703 0.000 0.000
0.000 5.703 0.000
0.000 0.000 5.340
ATOMIC_POSITIONS crystal
Sr 0.000 0.000 0.000
Te 0.500 0.500 0.500
S 0.000 0.500 0.000
S 0.500 0.000 0.000
Cl 0.000 0.000 0.500
```

***

No. 3
## SrTeS2Cl (PBE)

Data for SrTeS2Cl after structural relaxation. Values from VASP.

E_form (uncorrected) = -0.72 eV per atom
relative energy among the computed polymorphs = 0 meV per atom
final energy = -0.13613 Ha/atom
space-group type = P4/mmm (123)
theoretical density = 3.667 Mg/m³

Geometry as Quantum ESPRESSO input:
```
&SYSTEM
  ibrav = 0, nat = 5, ntyp = 4
/
ATOMIC_SPECIES
Sr 87.62 Sr.upf
Te 127.60 Te.upf
S 32.06 S.upf
Cl 35.45 Cl.upf
CELL_PARAMETERS angstrom
5.264 0.000 0.000
0.000 5.264 0.000
0.000 0.000 5.144
ATOMIC_POSITIONS crystal
Sr 0.000 0.000 0.000
Te 0.500 0.500 0.500
S 0.000 0.500 0.500
S 0.500 0.000 0.500
Cl 0.500 0.500 0.000
```

***

No. 4
## SrTiS2Cl (PBE)

Data for SrTiS2Cl after structural relaxation. Values from VASP.

E_form (uncorrected) = -1.59 eV per atom
relative energy among the computed polymorphs = 0 meV per atom
final energy = -0.20297 Ha/atom
space-group type = P4/mmm (123)
theoretical density = 3.508 Mg/m³

Geometry as Quantum ESPRESSO input:
```
&SYSTEM
  ibrav = 0, nat = 5, ntyp = 4
/
ATOMIC_SPECIES
Sr 87.62 Sr.upf
Ti 47.87 Ti.upf
S 32.06 S.upf
Cl 35.45 Cl.upf
CELL_PARAMETERS angstrom
4.829 0.000 0.000
0.000 4.829 0.000
0.000 0.000 4.772
ATOMIC_POSITIONS crystal
Sr 0.000 0.000 0.000
Ti 0.500 0.500 0.500
S 0.000 0.500 0.500
S 0.500 0.000 0.500
Cl 0.500 0.500 0.000
```

***

Number 4 is which compound?
SrTiS2Cl

***

What is the formula in the second record?
SrTeS2Cl

***

What is the E_form (uncorrected) in the third record?
-0.72 eV per atom